(one)
# TcIrCl2

TcIrCl2 after structural relaxation (PBE-GGA, Alexandria).

Properties
The space group is P2/m, No. 10. The calculation puts the density of states at the Fermi level at 0.852 states/eV/atom.

Cell: 3.005 4.210 5.063 Å, 90.00 93.85 90.00°
Positions (direct):
Tc 0.000 0.000 0.000
Ir 0.500 0.000 0.500
Cl 0.241 0.500 0.246
Cl 0.759 0.500 0.754

(two)
# TcIrCl2

TcIrCl2 after structural relaxation (PBE-GGA, Alexandria).

Properties
The space group is Immm, No. 71. The calculation puts the density of states at the Fermi level at 0.956 states/eV/atom.

Cell: 7.534 7.534 7.534 Å, 158.16 144.52 42.05°
Positions (direct):
Tc 0.000 0.000 0.000
Ir 0.500 0.500 0.000
Cl 0.140 0.640 0.500
Cl 0.860 0.360 0.500

Most stable pick: (two). Distance to second place: 36.9 kJ/mol of atoms.

(one)
# TcIrCl2

TcIrCl2 after structural relaxation (PBE-GGA, Alexandria).

Properties
The space group is R-3m, No. 166. The calculation puts the density of states at the Fermi level at 0.847 states/eV/atom.

Cell: 9.338 9.338 9.338 Å, 17.88 17.88 17.88°
Positions (direct):
Tc 0.000 0.000 0.000
Ir 0.500 0.500 0.500
Cl 0.268 0.268 0.268
Cl 0.732 0.732 0.732

(two)
# TcIrCl2

TcIrCl2 after structural relaxation (PBE-GGA, Alexandria).

Properties
The space group is Pmmm, No. 47. The calculation puts the density of states at the Fermi level at 0.719 states/eV/atom.

Cell: 2.865 4.240 5.324 Å, 90.00 90.00 90.00°
Positions (direct):
Tc 0.000 0.000 0.000
Ir 0.500 0.000 0.500
Cl 0.000 0.500 0.500
Cl 0.500 0.500 0.000

Most stable pick: (one). Distance to second place: 8.7 kJ/mol of atoms.

(one)
# Tc2IrCl

Tc2IrCl after structural relaxation (PBE-GGA, Alexandria).

Properties
The space group is R3m, No. 160. The calculation puts the density of states at the Fermi level at 1.360 states/eV/atom.

Cell: 9.088 9.088 9.088 Å, 17.87 17.87 17.87°
Positions (direct):
Tc 0.000 0.000 0.000
Tc 0.251 0.251 0.251
Ir 0.745 0.745 0.745
Cl 0.514 0.514 0.514

(two)
# Tc2IrCl

Tc2IrCl after structural relaxation (PBE-GGA, Alexandria).

Properties
The space group is Fm-3m, No. 225. The calculation puts the density of states at the Fermi level at 0.407 states/eV/atom.

Cell: 4.374 4.374 4.374 Å, 60.00 60.00 60.00°
Positions (direct):
Tc 0.250 0.250 0.250
Tc 0.750 0.750 0.750
Ir 0.000 0.000 0.000
Cl 0.500 0.500 0.500

(three)
# Tc2IrCl

Tc2IrCl after structural relaxation (PBE-GGA, Alexandria).

Properties
The space group is P4mm, No. 99. The calculation puts the density of states at the Fermi level at 0.850 states/eV/atom.

Cell: 2.809 2.809 8.517 Å, 90.00 90.00 90.00°
Positions (direct):
Tc 0.000 0.000 0.000
Tc 0.500 0.500 0.214
Ir 0.500 0.500 0.788
Cl 0.000 0.000 0.408

Most stable pick: (one). Distance to second place: 5.8 kJ/mol of atoms.